Material: PaHS2O8
Method: DFT, PBE
State: relaxed Values from VASP.

Calculated values
- Electronic total energy: -6.672 eV/atom

```
&SYSTEM
  ibrav = 0, nat = 12, ntyp = 4
/
ATOMIC_SPECIES
Pa 231.04 Pa.upf
H 1.01 H.upf
S 32.06 S.upf
O 16.00 O.upf
ATOMIC_POSITIONS crystal
Pa 0.0000 0.0000 0.0000
H 0.0000 0.0000 0.5000
S 0.3333 0.6667 0.0767
S 0.6667 0.3333 0.9233
O 0.1999 0.3998 0.2024
O 0.1999 0.8001 0.2024
O 0.3333 0.6667 0.7611
O 0.3998 0.1999 0.7976
O 0.6002 0.8001 0.2024
O 0.6667 0.3333 0.2389
O 0.8001 0.1999 0.7976
O 0.8001 0.6002 0.7976
CELL_PARAMETERS angstrom
6.0733 0.0000 0.0000
-3.0367 5.2596 0.0000
0.0000 0.0000 4.5371
```

Material: PaSbH2O6
Method: DFT, PBE
State: relaxed Values from VASP.

Calculated values
- Electronic total energy: -7.009 eV/atom

```
&SYSTEM
  ibrav = 0, nat = 10, ntyp = 4
/
ATOMIC_SPECIES
Pa 231.04 Pa.upf
Sb 121.76 Sb.upf
H 1.01 H.upf
O 16.00 O.upf
ATOMIC_POSITIONS crystal
Pa 0.0000 0.0000 0.0000
Sb 0.5000 0.5000 0.5000
H 0.1873 0.3930 0.2884
H 0.8127 0.6070 0.7116
O 0.1211 0.7396 0.7291
O 0.2584 0.5605 0.2599
O 0.3838 0.1459 0.7447
O 0.6162 0.8541 0.2553
O 0.7416 0.4395 0.7401
O 0.8789 0.2604 0.2709
CELL_PARAMETERS angstrom
5.0364 0.0000 0.0000
2.0511 4.6692 0.0000
2.3836 1.1524 5.0241
```

Material: Pa2Sb2HO
Method: DFT, PBE
State: relaxed Values from VASP.

Calculated values
- Electronic total energy: -7.144 eV/atom

```
&SYSTEM
  ibrav = 0, nat = 12, ntyp = 4
/
ATOMIC_SPECIES
Pa 231.04 Pa.upf
Sb 121.76 Sb.upf
H 1.01 H.upf
O 16.00 O.upf
ATOMIC_POSITIONS crystal
Pa 0.0861 0.2392 0.3253
Pa 0.4139 0.7392 0.1531
Pa 0.5861 0.2608 0.8469
Pa 0.9139 0.7608 0.6747
Sb 0.1783 0.7349 0.9133
Sb 0.3217 0.2349 0.5566
Sb 0.6783 0.7651 0.4434
Sb 0.8217 0.2651 0.0867
H 0.2500 0.7500 0.5000
H 0.7500 0.2500 0.5000
O 0.2500 0.2500 0.0000
O 0.7500 0.7500 0.0000
CELL_PARAMETERS angstrom
-2.8843 7.0901 2.8892
2.8843 -7.0901 2.8892
2.8843 7.0901 -2.8892
```

Material: PaHSeO2
Method: DFT, PBE
State: relaxed Values from VASP.

Calculated values
- Electronic total energy: -7.392 eV/atom

```
&SYSTEM
  ibrav = 0, nat = 10, ntyp = 4
/
ATOMIC_SPECIES
Pa 231.04 Pa.upf
H 1.01 H.upf
Se 78.96 Se.upf
O 16.00 O.upf
ATOMIC_POSITIONS crystal
Pa 0.1720 0.2500 0.2191
Pa 0.8280 0.7500 0.7809
H 0.4249 0.2500 0.8225
H 0.5751 0.7500 0.1775
Se 0.2620 0.7500 0.5638
Se 0.7380 0.2500 0.4362
O 0.0637 0.2500 0.8847
O 0.3931 0.7500 0.1370
O 0.6069 0.2500 0.8630
O 0.9363 0.7500 0.1153
CELL_PARAMETERS angstrom
5.5089 0.0000 0.0000
0.0000 3.7159 0.0000
-1.3989 0.0000 6.7462
```

Material: PaH2SeO8
Method: DFT, PBE
State: relaxed Values from VASP.

Calculated values
- Electronic total energy: -6.105 eV/atom

```
&SYSTEM
  ibrav = 0, nat = 12, ntyp = 4
/
ATOMIC_SPECIES
Pa 231.04 Pa.upf
H 1.01 H.upf
Se 78.96 Se.upf
O 16.00 O.upf
ATOMIC_POSITIONS crystal
Pa 0.0000 0.0000 0.0000
H 0.4350 0.4650 0.6708
H 0.5650 0.5350 0.3292
Se 0.0000 0.0000 0.5000
O 0.1904 0.2557 0.3135
O 0.2065 0.2892 0.6963
O 0.2827 0.7450 0.0028
O 0.3545 0.8600 0.5048
O 0.6455 0.1400 0.4952
O 0.7173 0.2550 0.9972
O 0.7935 0.7108 0.3037
O 0.8096 0.7443 0.6865
CELL_PARAMETERS angstrom
4.3369 0.0000 0.0000
-1.8507 4.2386 0.0000
-0.0395 -0.2223 6.9373
```

Material: PaH2SeO6
Method: DFT, PBE
State: relaxed Values from VASP.

Calculated values
- Electronic total energy: -6.525 eV/atom

```
&SYSTEM
  ibrav = 0, nat = 10, ntyp = 4
/
ATOMIC_SPECIES
Pa 231.04 Pa.upf
H 1.01 H.upf
Se 78.96 Se.upf
O 16.00 O.upf
ATOMIC_POSITIONS crystal
Pa 0.0000 0.0000 0.0000
H 0.3834 0.2045 0.3062
H 0.6166 0.7955 0.6938
Se 0.5000 0.5000 0.5000
O 0.1535 0.3863 0.7380
O 0.2627 0.8676 0.2720
O 0.4359 0.7381 0.7353
O 0.5641 0.2619 0.2647
O 0.7373 0.1324 0.7280
O 0.8465 0.6137 0.2620
CELL_PARAMETERS angstrom
5.0567 0.0000 0.0000
2.1167 4.5948 0.0000
2.1022 1.7670 4.9307
```